1.
The following is a PBE calculation of a relaxed V2Si4Ni crystal, from Alexandria via LeMat-Bulk.

Summary:
- Uncorrected formation energy: 407 meV/atom
- Crystal system: tetragonal
- Calculated total energy: -6.12 eV/atom
- SG: No. 139

```
V2Si4Ni
1.0
-0.7028 -1.2788 4.1367
-3.3041 -2.5500 -1.3497
1.7903 -6.4321 0.6415
Si Ni V
4 1 2
direct
0.1894 0.1894 0.6211
0.5000 0.0000 0.0000
0.8106 0.8106 0.3789
0.0000 0.5000 0.0000
0.0000 0.0000 0.0000
0.3967 0.3967 0.2066
0.6033 0.6033 0.7934
```

2.
The following is a PBE calculation of a relaxed Zr2CdAu crystal, from Alexandria via LeMat-Bulk.

Summary:
- DFT formation energy: -124 meV per atom
- Crystal system: monoclinic
- Calculated total energy: -5.45 eV/atom
- SG: No. 10

```
Zr2CdAu
1.0
-0.5618 -1.4963 -2.6879
5.0844 -0.0062 -1.0592
4.0287 -4.5475 1.6894
Au Cd Zr
1 1 2
direct
0.5000 0.5000 0.5000
0.0000 0.0000 0.5000
0.5000 0.5000 0.0000
0.0000 0.0000 0.0000
```

3.
The following is a PBE calculation of a relaxed Ba2NaTeN crystal, from Alexandria via LeMat-Bulk.

Summary:
- Uncorrected formation energy: -805 meV/atom
- Crystal system: tetragonal
- Calculated total energy: -4.13 eV/atom
- SG: No. 123

```
Ba2NaTeN
1.0
-3.6696 -0.7300 4.1521
4.1924 -1.2112 3.4922
0.3866 4.7118 1.1701
N Na Ba Te
1 1 2 1
direct
0.0000 0.0000 0.0000
0.0000 0.0000 0.5000
0.5000 0.0000 0.0000
0.0000 0.5000 0.0000
0.5000 0.5000 0.5000
```

4.
The following is a PBE calculation of a relaxed PrSmN crystal, from Alexandria via LeMat-Bulk.

Summary:
- Uncorrected formation energy: 208 meV/atom
- Crystal system: tetragonal
- Excess energy over the best structure of this formula in the dataset: 1.0731 eV/atom
- Calculated total energy: -5.73 eV/atom
- SG: No. 107

```
PrSmN
1.0
-3.9156 -1.9918 1.9940
0.2361 -3.6331 -3.1654
4.1492 0.7801 3.0906
Pr N Sm
1 1 1
direct
0.3486 0.3486 0.6972
0.6192 0.6192 0.2384
0.8822 0.8822 0.7644
```

5.
The following is a PBE calculation of a relaxed KHgBiSb crystal, from Alexandria via LeMat-Bulk.

Summary:
- Uncorrected formation energy: -91 meV/atom
- Crystal system: cubic
- Calculated total energy: -2.44 eV/atom
- SG: No. 216

```
KHgBiSb
1.0
-3.0165 -1.6825 4.4412
-4.0398 -3.8627 -0.6435
0.7040 -5.1802 2.0795
Sb Bi Hg K
1 1 1 1
direct
0.2500 0.2500 0.2500
0.0000 0.0000 0.0000
0.7500 0.7500 0.7500
0.5000 0.5000 0.5000
```

6.
The following is a PBE calculation of a relaxed PaMnAlFe crystal, from Alexandria via LeMat-Bulk.

Summary:
- DFT formation energy: -188 meV per atom
- Crystal system: cubic
- Calculated total energy: -7.91 eV/atom
- SG: No. 216

```
PaMnAlFe
1.0
-1.9481 -1.4100 -3.7069
-3.5265 -2.6525 0.2287
-3.9917 1.5302 -1.1178
Fe Mn Al Pa
1 1 1 1
direct
0.5000 0.5000 0.5000
0.0000 0.0000 0.0000
0.7500 0.7500 0.7500
0.2500 0.2500 0.2500
```

no.,spin magnetization (μB/f.u.)
1,1.50
2,0.00
3,0.00
4,0.00
5,0.00
6,0.00